a) An optimized crystal structure of La2Pm3Ho. Source: Alexandria, functional GGA-PBE.

Calculated values
Total magnetic moment: 0.000 μB per cell
Volume: 34.7 Å³ per atom

Unit cell a=6.808 b=9.209 c=6.808 alpha=82.14 beta=84.87 gamma=97.86
Fractional positions:
Pm 0.416 0.750 0.416
La 0.628 0.876 0.879
Pm 0.665 0.500 0.168
La 0.879 0.624 0.628
Pm 0.335 0.500 0.832
La 0.372 0.124 0.121
La 0.121 0.376 0.372
Ho 0.916 0.250 0.916
Pm 0.832 0.000 0.335
Pm 0.584 0.250 0.584
Ho 0.084 0.750 0.084
Pm 0.168 0.000 0.665

***

b) An optimized crystal structure of La2Pm3Ho. Source: Alexandria, functional GGA-PBE.

Calculated values
Total magnetic moment: 0.000 μB per cell
Volume: 35.5 Å³ per atom

Unit cell a=3.455 b=6.757 c=18.229 alpha=90.00 beta=90.00 gamma=90.00
Fractional positions:
La 0.500 0.730 0.184
Pm 0.500 0.500 0.500
Pm 0.000 0.725 0.354
La 0.500 0.270 0.816
Ho 0.500 0.500 0.000
La 0.000 0.230 0.316
Pm 0.500 0.225 0.146
Pm 0.000 0.275 0.646
Ho 0.000 0.000 0.500
Pm 0.000 0.000 0.000
Pm 0.500 0.775 0.854
La 0.000 0.770 0.684

***

Of them, b) has the lowest stability.

***

a) An optimized crystal structure of La3Pm6Ho. Source: Alexandria, functional GGA-PBE.

Calculated values
Total magnetic moment: 0.001 μB per cell
Volume: 36.0 Å³ per atom

Unit cell a=6.895 b=13.303 c=6.928 alpha=131.03 beta=119.84 gamma=90.00
Fractional positions:
Pm 0.319 0.005 0.639
Ho 0.500 0.500 0.000
La 0.798 0.326 0.596
Pm 0.681 0.995 0.361
Pm 0.164 0.678 0.871
La 0.202 0.674 0.404
Pm 0.294 0.322 0.129
Pm 0.836 0.322 0.129
La 0.000 0.000 0.000
Pm 0.706 0.678 0.871

***

b) An optimized crystal structure of La3Pm6Ho. Source: Alexandria, functional GGA-PBE.

Calculated values
Total magnetic moment: 0.000 μB per cell
Volume: 35.4 Å³ per atom

Unit cell a=6.377 b=10.634 c=10.634 alpha=100.92 beta=90.00 gamma=90.00
Fractional positions:
Pm 0.903 0.434 0.014
Pm 0.072 0.441 0.321
Pm 0.403 0.566 0.986
La 0.455 0.866 0.720
Pm 0.618 0.258 0.742
La 0.455 0.280 0.134
Pm 0.734 0.061 0.939
La 0.955 0.134 0.280
Pm 0.403 0.014 0.434
Pm 0.234 0.939 0.061
Ho 0.683 0.846 0.154
Pm 0.572 0.321 0.441
Pm 0.572 0.559 0.679
Ho 0.183 0.154 0.846
Pm 0.903 0.986 0.566
Pm 0.118 0.742 0.258
Pm 0.072 0.679 0.559
La 0.955 0.720 0.866
La 0.089 0.365 0.635
La 0.589 0.635 0.365

***

Of them, a) has the lowest stability.

***

a) An optimized crystal structure of La12PmHo6. Source: Alexandria, functional GGA-PBE.

Calculated values
Total magnetic moment: 0.003 μB per cell
Volume: 34.9 Å³ per atom

Unit cell a=9.694 b=9.694 c=9.694 alpha=110.83 beta=110.83 gamma=110.83
Fractional positions:
La 0.737 0.105 0.158
La 0.580 0.371 0.056
La 0.895 0.842 0.263
Ho 0.681 0.528 0.784
Ho 0.216 0.319 0.472
La 0.263 0.895 0.842
La 0.944 0.420 0.629
Ho 0.784 0.681 0.528
La 0.158 0.737 0.105
Pm 0.000 0.000 0.000
La 0.629 0.944 0.420
La 0.105 0.158 0.737
Ho 0.319 0.472 0.216
La 0.420 0.629 0.944
Ho 0.472 0.216 0.319
La 0.056 0.580 0.371
La 0.371 0.056 0.580
Ho 0.528 0.784 0.681
La 0.842 0.263 0.895

***

b) An optimized crystal structure of La12PmHo6. Source: Alexandria, functional GGA-PBE.

Calculated values
Total magnetic moment: 0.000 μB per cell
Volume: 37.3 Å³ per atom

Unit cell a=9.068 b=9.068 c=9.068 alpha=99.69 beta=99.69 gamma=99.69
Fractional positions:
La 0.541 0.821 0.541
Ho 0.247 0.793 0.793
Ho 0.793 0.247 0.793
La 0.110 0.500 0.890
La 0.500 0.890 0.110
Pm 0.000 0.000 0.000
La 0.541 0.541 0.821
La 0.459 0.179 0.459
Ho 0.207 0.207 0.753
La 0.821 0.541 0.541
Ho 0.793 0.793 0.247
Ho 0.207 0.753 0.207
La 0.890 0.110 0.500
La 0.459 0.459 0.179
La 0.500 0.110 0.890
La 0.890 0.500 0.110
Ho 0.753 0.207 0.207
La 0.110 0.890 0.500
La 0.179 0.459 0.459

***

Of them, b) has the lowest stability.

***

a) An optimized crystal structure of La2Pm3Ho6. Source: Alexandria, functional GGA-PBE.

Calculated values
Total magnetic moment: 0.000 μB per cell
Volume: 34.9 Å³ per atom

Unit cell a=4.791 b=4.791 c=17.053 alpha=98.08 beta=98.08 gamma=90.00
Fractional positions:
Pm 0.204 0.204 0.408
Pm 0.000 0.000 0.000
Ho 0.878 0.378 0.756
Ho 0.622 0.122 0.244
Ho 0.378 0.878 0.756
Ho 0.693 0.693 0.387
Pm 0.796 0.796 0.592
Ho 0.122 0.622 0.244
La 0.546 0.546 0.092
Ho 0.307 0.307 0.613
La 0.454 0.454 0.908

***

b) An optimized crystal structure of La2Pm3Ho6. Source: Alexandria, functional GGA-PBE.

Calculated values
Total magnetic moment: 0.001 μB per cell
Volume: 34.8 Å³ per atom

Unit cell a=6.221 b=6.157 c=11.732 alpha=85.60 beta=81.27 gamma=59.65
Fractional positions:
Ho 0.074 0.334 0.754
Ho 0.408 0.666 0.754
La 0.825 0.351 0.500
Ho 0.260 0.000 0.250
Pm 0.000 0.000 0.000
Ho 0.740 0.000 0.750
Ho 0.926 0.666 0.246
Pm 0.664 0.672 0.000
Ho 0.592 0.334 0.246
Pm 0.336 0.328 0.000
La 0.175 0.649 0.500

***

Of them, a) has the lowest stability.